A.
A plane-wave DFT calculation with PBE was carried out for an optimized crystal structure of RbTi3Tl.

a = 5.446 Å, b = 5.446 Å, c = 5.446 Å
α = 90.00°, β = 90.00°, γ = 90.00°
Fractional positions:
Rb 0.000 0.000 0.000
Ti 0.000 0.500 0.500
Ti 0.500 0.000 0.500
Ti 0.500 0.500 0.000
Tl 0.500 0.500 0.500

Results
* calculated volume: 32.306 A^3/atom
* density: 4.456 g/cm3
* crystal system: cubic

B.
A plane-wave DFT calculation with PBE was carried out for an optimized crystal structure of RbTi3Tl.

a = 4.769 Å, b = 4.769 Å, c = 4.769 Å
α = 90.00°, β = 90.00°, γ = 90.00°
Fractional positions:
Rb 0.000 0.000 0.000
Ti 0.000 0.000 0.500
Ti 0.000 0.500 0.000
Ti 0.500 0.000 0.000
Tl 0.500 0.500 0.500

Results
* calculated volume: 21.686 A^3/atom
* density: 6.638 g/cm3
* crystal system: cubic

Ordering by calculated energy gives the sequence A, B, with the first entry being the most stable.

A.
A plane-wave DFT calculation with PBE was carried out for an optimized crystal structure of RbTi2Tl2.

a = 8.980 Å, b = 8.980 Å, c = 3.106 Å
α = 90.00°, β = 90.00°, γ = 90.00°
Fractional positions:
Rb 0.000 0.000 0.000
Rb 0.500 0.500 0.000
Ti 0.109 0.391 0.000
Ti 0.391 0.891 0.000
Ti 0.609 0.109 0.000
Ti 0.891 0.609 0.000
Tl 0.180 0.680 0.500
Tl 0.320 0.180 0.500
Tl 0.680 0.820 0.500
Tl 0.820 0.320 0.500

Results
* calculated volume: 25.042 A^3/atom
* density: 7.824 g/cm3
* crystal system: tetragonal

B.
A plane-wave DFT calculation with PBE was carried out for an optimized crystal structure of RbTi2Tl2.

a = 6.448 Å, b = 6.448 Å, c = 6.448 Å
α = 130.97°, β = 130.97°, γ = 71.86°
Fractional positions:
Rb 0.000 0.000 0.000
Ti 0.351 0.351 0.000
Ti 0.649 0.649 0.000
Tl 0.250 0.750 0.500
Tl 0.750 0.250 0.500

Results
* calculated volume: 29.902 A^3/atom
* density: 6.553 g/cm3
* crystal system: tetragonal

Ordering by calculated energy gives the sequence A, B, with the first entry being the most stable.